An optimized crystal structure of Nd3Ga2Pt6, computed with PBE.

Values from the calculation:
- crystal system = cubic
- D(E_F) (states/eV/f.u.) = 7.3
- space group = Im-3m
- energy of formation (eV per atom) = -0.9755

a = 8.362 Å, b = 8.362 Å, c = 8.362 Å
α = 109.47°, β = 109.47°, γ = 109.47°
Element x y z (fractional)
Pt 0.323 0.000 0.677
Pt 0.000 0.677 0.323
Pt 0.677 0.353 0.677
Pt 0.000 0.323 0.677
Pt 0.323 0.323 0.647
Pt 0.323 0.677 0.000
Pt 0.323 0.647 0.323
Pt 0.677 0.000 0.323
Pt 0.647 0.323 0.323
Pt 0.677 0.677 0.353
Pt 0.677 0.323 0.000
Pt 0.353 0.677 0.677
Nd 0.000 0.703 0.703
Nd 0.703 0.000 0.703
Nd 0.297 0.000 0.297
Nd 0.703 0.703 0.000
Nd 0.000 0.297 0.297
Nd 0.297 0.297 0.000
Ga 0.000 0.000 0.500
Ga 0.000 0.500 0.000
Ga 0.500 0.500 0.500
Ga 0.500 0.000 0.000